# Ba3UAgS6, optimized geometry, DFT PBEsol
# Raw total energy (eV per formula unit): -66.02
# Density of states at the Fermi level (states/eV per atom): 0.044
data_Ba3UAgS6
_symmetry_space_group_name_H-M 'R -3 c'
_symmetry_Int_Tables_number 167
_symmetry_space_group_name_Hall '-R 3 2"c'
_cell_length_a 12.1355
_cell_length_b 12.1355
_cell_length_c 13.7058
_cell_angle_alpha 90.00
_cell_angle_beta 90.00
_cell_angle_gamma 120.00
loop_
_atom_site_label
_atom_site_fract_x
_atom_site_fract_y
_atom_site_fract_z
_atom_site_occupancy
Ba1 0.0000 0.3754 0.2500 1
U1 0.0000 0.0000 0.0000 1
Ag1 0.0000 0.0000 0.2500 1
S1 0.0256 0.1837 0.3884 1